This record from Alexandria describes an optimized crystal structure of AcNd2Pd. The functional is PBE.

abc: 3.7291 3.7291 9.1207
angles: 90.00 90.00 90.00
Last column: nearest neighbours and their distance in Å.
Space group P4/mmm (No. 123)
One atom of each set of equivalent atoms:
Ac1 0.0000 0.0000 0.0000 (multiplicity 1)  4 Ac 3.73, 8 Nd 3.89
Nd1 0.5000 0.5000 0.3141 (multiplicity 2)  4 Pd 3.14, 1 Nd 3.39
Pd1 0.0000 0.0000 0.5000 (multiplicity 1)  8 Nd 3.14

Summary:
Formation energy from the elements, eV per atom: -0.3244
Offset from the most stable computed form, meV/atom: 81.3
Volume, Å³ per cell: 127